Entry 1:
## La3ErAl8 (GGA-PBE)

Data for a geometry-optimized La3ErAl8 structure.

Results
Spin magnetization in μB/f.u.: 0.0
ΔH_f (0 K) in eV/atom: -0.49
V in Å³/atom: 21.82
D(E_F) in states/eV/atom: 0.65

Geometry as CIF:
```
data_La3ErAl8
_symmetry_space_group_name_H-M 'R 3 m'
_symmetry_Int_Tables_number 160
_symmetry_space_group_name_Hall 'R 3 -2"'
_cell_length_a 5.6926
_cell_length_b 5.6926
_cell_length_c 27.9893
_cell_angle_alpha 90.00
_cell_angle_beta 90.00
_cell_angle_gamma 120.00
loop_
_atom_site_label
_atom_site_fract_x
_atom_site_fract_y
_atom_site_fract_z
La1 0.0000 0.0000 0.0000
La2 0.0000 0.0000 0.1251
La3 0.0000 0.0000 0.6260
Er1 0.0000 0.0000 0.5006
Al1 0.0000 0.0000 0.3124
Al2 0.0000 0.0000 0.8133
Al3 0.0013 0.5007 0.0646
Al4 0.1672 0.3345 0.8946
```



Entry 2:
## LaEr2Al6 (GGA-PBE)

Data for a geometry-optimized LaEr2Al6 structure.

Results
Spin magnetization in μB/f.u.: 0.0
ΔH_f (0 K) in eV/atom: -0.46
V in Å³/atom: 21.66
D(E_F) in states/eV/atom: 0.33

Geometry as CIF:
```
data_LaEr2Al6
_symmetry_space_group_name_H-M 'P 6/m m m'
_symmetry_Int_Tables_number 191
_symmetry_space_group_name_Hall '-P 6 2'
_cell_length_a 7.9787
_cell_length_b 7.9787
_cell_length_c 3.5360
_cell_angle_alpha 90.00
_cell_angle_beta 90.00
_cell_angle_gamma 120.00
loop_
_atom_site_label
_atom_site_fract_x
_atom_site_fract_y
_atom_site_fract_z
La1 0.0000 0.0000 0.0000
Er1 0.3333 0.6667 0.0000
Al1 0.0000 0.3372 0.5000
```



Entry 3:
## La5ErAl6 (GGA-PBE)

Data for a geometry-optimized La5ErAl6 structure.

Results
Spin magnetization in μB/f.u.: 0.0
ΔH_f (0 K) in eV/atom: -0.36
V in Å³/atom: 26.57
D(E_F) in states/eV/atom: 0.45

Geometry as CIF:
```
data_La5ErAl6
_symmetry_space_group_name_H-M 'C 1 2/m 1'
_symmetry_Int_Tables_number 12
_cell_length_a 16.862
_cell_length_b 7.474
_cell_length_c 5.329
_cell_angle_alpha 90.00
_cell_angle_beta 108.25
_cell_angle_gamma 90.00
loop_
_symmetry_equiv_pos_as_xyz
'x,y,z'
'-x,-y,-z'
'-x,y,-z'
'x,-y,z'
'x+1/2,y+1/2,z'
'-x+1/2,-y+1/2,-z'
'-x+1/2,y+1/2,-z'
'x+1/2,-y+1/2,z'
loop_
_atom_site_label
_atom_site_fract_x
_atom_site_fract_y
_atom_site_fract_z
La1 0.000 0.000 0.000
La2 0.162 0.000 0.662
La3 0.177 0.500 0.678
Er1 0.000 0.500 0.000
Al1 0.000 0.279 0.500
Al2 0.160 0.266 0.161
```



Entry 4:
## LaEr2Al (GGA-PBE)

Data for a geometry-optimized LaEr2Al structure.

Results
Spin magnetization in μB/f.u.: 0.0
ΔH_f (0 K) in eV/atom: 0.05
V in Å³/atom: 29.55
D(E_F) in states/eV/atom: 1.39

Geometry as CIF:
```
data_LaEr2Al
_symmetry_space_group_name_H-M 'R -3 m'
_symmetry_Int_Tables_number 166
_symmetry_space_group_name_Hall '-R 3 2"'
_cell_length_a 3.4561
_cell_length_b 3.4561
_cell_length_c 34.2739
_cell_angle_alpha 90.00
_cell_angle_beta 90.00
_cell_angle_gamma 120.00
loop_
_atom_site_label
_atom_site_fract_x
_atom_site_fract_y
_atom_site_fract_z
La1 0.0000 0.0000 0.0000
Er1 0.0000 0.0000 0.1009
Al1 0.0000 0.0000 0.5000
```



Entry 5:
## LaErAl (GGA-PBE)

Data for a geometry-optimized LaErAl structure.

Results
Spin magnetization in μB/f.u.: 0.0
ΔH_f (0 K) in eV/atom: -0.01
V in Å³/atom: 29.00
D(E_F) in states/eV/atom: 1.07

Geometry as CIF:
```
data_LaErAl
_symmetry_space_group_name_H-M 'R 3 m'
_symmetry_Int_Tables_number 160
_symmetry_space_group_name_Hall 'R 3 -2"'
_cell_length_a 3.5614
_cell_length_b 3.5614
_cell_length_c 23.7524
_cell_angle_alpha 90.00
_cell_angle_beta 90.00
_cell_angle_gamma 120.00
loop_
_atom_site_label
_atom_site_fract_x
_atom_site_fract_y
_atom_site_fract_z
La1 0.0000 0.0000 0.0000
Er1 0.0000 0.0000 0.7939
Al1 0.0000 0.0000 0.2243
```



Entry 6:
## LaEr2Al3 (GGA-PBE)

Data for a geometry-optimized LaEr2Al3 structure.

Results
Spin magnetization in μB/f.u.: 0.0
ΔH_f (0 K) in eV/atom: -0.38
V in Å³/atom: 24.24
D(E_F) in states/eV/atom: 0.54

Geometry as CIF:
```
data_LaEr2Al3
_symmetry_space_group_name_H-M 'P 4/m m m'
_symmetry_Int_Tables_number 123
_symmetry_space_group_name_Hall '-P 4 2'
_cell_length_a 3.624
_cell_length_b 3.624
_cell_length_c 11.073
_cell_angle_alpha 90.00
_cell_angle_beta 90.00
_cell_angle_gamma 90.00
loop_
_atom_site_label
_atom_site_fract_x
_atom_site_fract_y
_atom_site_fract_z
La1 0.000 0.000 0.000
Er1 0.000 0.000 0.342
Al1 0.500 0.500 0.187
Al2 0.500 0.500 0.500
```



Entry 7:
## LaEr2Al (GGA-PBE)

Data for a geometry-optimized LaEr2Al structure.

Results
Spin magnetization in μB/f.u.: 0.0
ΔH_f (0 K) in eV/atom: -0.17
V in Å³/atom: 27.75
D(E_F) in states/eV/atom: 1.09

Geometry as CIF:
```
data_LaEr2Al
_symmetry_space_group_name_H-M 'A m m 2'
_symmetry_Int_Tables_number 38
_cell_length_a 5.338
_cell_length_b 6.916
_cell_length_c 12.025
_cell_angle_alpha 90.00
_cell_angle_beta 90.00
_cell_angle_gamma 90.00
loop_
_symmetry_equiv_pos_as_xyz
'x,y,z'
'-x,-y,z'
'-x,y,z'
'x,-y,z'
'x,y+1/2,z+1/2'
'-x,-y+1/2,z+1/2'
'-x,y+1/2,z+1/2'
'x,-y+1/2,z+1/2'
loop_
_atom_site_label
_atom_site_fract_x
_atom_site_fract_y
_atom_site_fract_z
La1 0.000 0.228 0.000
Er1 0.000 0.000 0.240
Er2 0.500 0.000 0.587
Er3 0.500 0.238 0.824
Al1 0.000 0.000 0.744
Al2 0.500 0.000 0.091
```



Entry 8:
## LaEr4Al (GGA-PBE)

Data for a geometry-optimized LaEr4Al structure.

Results
Spin magnetization in μB/f.u.: 0.0
ΔH_f (0 K) in eV/atom: -0.04
V in Å³/atom: 29.62
D(E_F) in states/eV/atom: 1.18

Geometry as CIF:
```
data_LaEr4Al
_symmetry_space_group_name_H-M 'C 1 2/c 1'
_symmetry_Int_Tables_number 15
_cell_length_a 8.800
_cell_length_b 13.821
_cell_length_c 6.182
_cell_angle_alpha 90.00
_cell_angle_beta 109.03
_cell_angle_gamma 90.00
loop_
_symmetry_equiv_pos_as_xyz
'x,y,z'
'-x,-y,-z'
'-x,y,-z+1/2'
'x,-y,z+1/2'
'x+1/2,y+1/2,z'
'-x+1/2,-y+1/2,-z'
'-x+1/2,y+1/2,-z+1/2'
'x+1/2,-y+1/2,z+1/2'
loop_
_atom_site_label
_atom_site_fract_x
_atom_site_fract_y
_atom_site_fract_z
La1 0.000 0.099 0.250
Er1 0.101 0.318 0.549
Er2 0.224 0.113 0.870
Al1 0.000 0.499 0.750
```



Entry 9:
## La3ErAl2 (GGA-PBE)

Data for a geometry-optimized La3ErAl2 structure.

Results
Spin magnetization in μB/f.u.: 0.0
ΔH_f (0 K) in eV/atom: -0.26
V in Å³/atom: 29.40
D(E_F) in states/eV/atom: 1.15

Geometry as CIF:
```
data_La3ErAl2
_symmetry_space_group_name_H-M 'P m c 21'
_symmetry_Int_Tables_number 26
_cell_length_a 5.268
_cell_length_b 9.912
_cell_length_c 6.757
_cell_angle_alpha 90.00
_cell_angle_beta 90.00
_cell_angle_gamma 90.00
loop_
_symmetry_equiv_pos_as_xyz
'x,y,z'
'-x,-y,z+1/2'
'-x,y,z'
'x,-y,z+1/2'
loop_
_atom_site_label
_atom_site_fract_x
_atom_site_fract_y
_atom_site_fract_z
La1 0.000 0.046 0.000
La2 0.000 0.331 0.342
La3 0.500 0.180 0.731
Er1 0.500 0.453 0.059
Al1 0.000 0.357 0.832
Al2 0.500 0.151 0.241
```



Entry 10:
## LaErAl6 (GGA-PBE)

Data for a geometry-optimized LaErAl6 structure.

Results
Spin magnetization in μB/f.u.: 0.0
ΔH_f (0 K) in eV/atom: -0.41
V in Å³/atom: 20.84
D(E_F) in states/eV/atom: 0.40

Geometry as CIF:
```
data_LaErAl6
_symmetry_space_group_name_H-M 'A m m 2'
_symmetry_Int_Tables_number 38
_cell_length_a 4.656
_cell_length_b 6.434
_cell_length_c 11.129
_cell_angle_alpha 90.00
_cell_angle_beta 90.00
_cell_angle_gamma 90.00
loop_
_symmetry_equiv_pos_as_xyz
'x,y,z'
'-x,-y,z'
'-x,y,z'
'x,-y,z'
'x,y+1/2,z+1/2'
'-x,-y+1/2,z+1/2'
'-x,y+1/2,z+1/2'
'x,-y+1/2,z+1/2'
loop_
_atom_site_label
_atom_site_fract_x
_atom_site_fract_y
_atom_site_fract_z
La1 0.000 0.000 0.000
Er1 0.500 0.000 0.667
Al1 0.000 0.000 0.479
Al2 0.000 0.217 0.261
Al3 0.500 0.000 0.193
Al4 0.500 0.211 0.404
```



Entry 11:
## LaEr5Al3 (GGA-PBE)

Data for a geometry-optimized LaEr5Al3 structure.

Results
Spin magnetization in μB/f.u.: 0.0
ΔH_f (0 K) in eV/atom: -0.25
V in Å³/atom: 26.38
D(E_F) in states/eV/atom: 1.17

Geometry as CIF:
```
data_LaEr5Al3
_symmetry_space_group_name_H-M 'P 63/m c m'
_symmetry_Int_Tables_number 193
_symmetry_space_group_name_Hall '-P 6c 2'
_cell_length_a 9.0869
_cell_length_b 9.0869
_cell_length_c 6.6410
_cell_angle_alpha 90.00
_cell_angle_beta 90.00
_cell_angle_gamma 120.00
loop_
_atom_site_label
_atom_site_fract_x
_atom_site_fract_y
_atom_site_fract_z
La1 0.0000 0.0000 0.0000
Er1 0.0000 0.3322 0.2500
Er2 0.3333 0.6667 0.0000
Al1 0.0000 0.3412 0.7500
```



Entry 12:
## LaEr2Al2 (GGA-PBE)

Data for a geometry-optimized LaEr2Al2 structure.

Results
Spin magnetization in μB/f.u.: 0.7
ΔH_f (0 K) in eV/atom: -0.07
V in Å³/atom: 28.54
D(E_F) in states/eV/atom: 1.17

Geometry as CIF:
```
data_LaEr2Al2
_symmetry_space_group_name_H-M 'I 4/m m m'
_symmetry_Int_Tables_number 139
_symmetry_space_group_name_Hall '-I 4 2'
_cell_length_a 4.560
_cell_length_b 4.560
_cell_length_c 27.450
_cell_angle_alpha 90.00
_cell_angle_beta 90.00
_cell_angle_gamma 90.00
loop_
_atom_site_label
_atom_site_fract_x
_atom_site_fract_y
_atom_site_fract_z
La1 0.000 0.000 0.128
Er1 0.000 0.000 0.430
Er2 0.000 0.500 0.250
Al1 0.000 0.000 0.324
Al2 0.000 0.500 0.000
```